{"formula": "Zr3Ag4", "functional": "PBE", "state": "optimized geometry", "lattice": [[-0.7642, 5.1606, 2.1465], [-4.3930, -2.8759, -2.0625], [-0.8595, -2.1160, 4.7813]], "species": ["Ag", "Ag", "Ag", "Zr", "Zr", "Zr", "Ag"], "frac_coords": [[0.6667, 0.3333, 0.5000], [0.0000, 0.0000, 0.2544], [0.0000, 0.0000, 0.7456], [0.0000, 0.5000, 0.0000], [0.5000, 0.5000, 0.0000], [0.5000, 0.0000, 0.0000], [0.3333, 0.6667, 0.5000]], "total_energy_ev_per_atom": -5.06, "mass_density_g_cm3": 8.02, "space_group": "P6/mmm, No. 191", "total_magnetization_mub_per_fu": 0.00, "n_ef_per_ev_atom": 1.0209, "ef_ev_per_atom": 0.23}

=====

{"formula": "Zr6Ag7", "functional": "PBE", "state": "optimized geometry", "lattice": [[-3.0854, 1.3760, 9.8597], [-7.7323, 1.1859, 6.8872], [-5.1895, -3.4939, 8.3360]], "species": ["Zr", "Zr", "Zr", "Ag", "Ag", "Zr", "Ag", "Ag", "Zr", "Ag", "Ag", "Zr", "Ag"], "frac_coords": [[0.3310, 0.3310, 0.3310], [0.6690, 0.6690, 0.6690], [0.8442, 0.8442, 0.8442], [0.4093, 0.9121, 0.4093], [0.5907, 0.0879, 0.5907], [0.9537, 0.9537, 0.9537], [0.4093, 0.4093, 0.9121], [0.0879, 0.5907, 0.5907], [0.0463, 0.0463, 0.0463], [0.9121, 0.4093, 0.4093], [0.5907, 0.5907, 0.0879], [0.1558, 0.1558, 0.1558], [0.5000, 0.5000, 0.5000]], "total_energy_ev_per_atom": -5.44, "mass_density_g_cm3": 8.26, "space_group": "R-3m, No. 166", "total_magnetization_mub_per_fu": 0.99, "n_ef_per_ev_atom": 1.1402, "ef_ev_per_atom": 0.04}

=====

{"formula": "ZrAg2", "functional": "PBE", "state": "optimized geometry", "lattice": [[6.7881, 0.0212, 0.0000], [5.4504, 4.0461, 0.0000], [-6.1193, -2.0337, 2.1207]], "species": ["Ag", "Zr", "Ag"], "frac_coords": [[0.6623, 0.6623, 0.0000], [0.3333, 0.3333, 0.0000], [0.0044, 0.0044, 0.0000]], "total_energy_ev_per_atom": -4.75, "mass_density_g_cm3": 8.79, "space_group": "I4/mmm, No. 139", "total_magnetization_mub_per_fu": 0.00, "n_ef_per_ev_atom": 0.8843, "ef_ev_per_atom": 0.00}